This record from the Alexandria database describes a geometry-optimized CaTl2Ru structure. The functional is GGA-PBEsol.

The value obtained for the total energy is -17.01 eV/cell. The density of states at the Fermi level is 0.775 states/eV per atom. The spin magnetization comes out at 0.00 μB per formula unit.

a b c (Å): 7.222 7.222 7.222
angles (deg): 154.17 144.29 44.60
Atoms (fractional coordinates):
Ca (0.000, 0.000, 0.000)
Tl (0.358, 0.358, 0.000)
Tl (0.679, 0.179, 0.500)
Ru (0.184, 0.684, 0.500)